Computed, not measured: crystalline PmSmCdRh at its relaxed geometry at the PBE level of DFT.

Lattice parameters (Å, degrees): 5.1742 5.1742 5.1742 60.00 60.00 60.00
Positions (direct):
Pm (0.0000, 0.0000, 0.0000)
Sm (0.5000, 0.5000, 0.5000)
Cd (0.7500, 0.7500, 0.7500)
Rh (0.2500, 0.2500, 0.2500)

Output
calculated volume	98.0	Å³ per cell
formation energy	-0.452	eV/atom